# 1
First-principles (PBE) data for crystalline NaCdSn3 at its relaxed geometry, as listed in Alexandria via LeMat-Bulk.

Values from the calculation:
The calculation puts the total energy at -2.234 eV per atom. As for the calculated formation energy: 0.61 eV per atom. The space group is Pm-3m, No. 221. As for the density: 5.04 Mg/m³. Its density of states at the Fermi level is 5.451 states/eV per cell.

Structure (POSCAR):
```
NaCdSn3
1.0
5.449 0.000 0.000
0.000 5.449 0.000
0.000 0.000 5.449
Na Sn Cd
1 3 1
Direct
0.000 0.000 0.000 Na
0.000 0.500 0.000 Sn
0.000 0.000 0.500 Sn
0.500 0.000 0.000 Sn
0.500 0.500 0.500 Cd
```



# 2
First-principles (PBE) data for crystalline ZrTi2CuPd at its relaxed geometry, as listed in Alexandria via LeMat-Bulk.

Values from the calculation:
The calculation puts the total energy at -5.505 eV per atom. As for the calculated formation energy: 1.22 eV per atom. The space group is P4/mmm, No. 123. As for the density: 5.29 Mg/m³. Its density of states at the Fermi level is 6.757 states/eV per cell.

Structure (POSCAR):
```
ZrTi2CuPd
1.0
4.809 0.000 0.000
0.000 4.846 0.000
0.000 0.000 4.809
Cu Zr Pd Ti
1 1 1 2
Direct
0.500 0.500 0.500 Cu
0.000 0.000 0.000 Zr
0.000 0.500 0.000 Pd
0.000 0.000 0.500 Ti
0.500 0.000 0.000 Ti
```



Q: Look up the calculated formation energy of the first one.
A: 0.61 eV per atom



Q: calculated formation energy of number 2 (ZrTi2CuPd)?
A: 1.22 eV per atom